DFT (PBE) results for crystalline FeSi2Pb at its relaxed geometry.

a = 3.0465 Å, b = 3.0465 Å, c = 7.6533 Å
α = 90.00°, β = 90.00°, γ = 90.00°
Closest atoms and distances in Å follow each position.
Fractional coordinates of all 4 atoms:
Fe  0.0000  0.0000  0.4127  5 Si 2.35-2.42
Pb  0.5000  0.5000  0.7008  4 Pb 3.05, 4 Fe 3.08, 1 Si 3.14
Si  0.0000  0.0000  0.0960  1 Fe 2.42, 4 Si 2.62
Si  0.5000  0.5000  0.2904  4 Fe 2.35, 4 Si 2.62

## Properties
* electronic total energy: -5.512 eV per atom

---

DFT (PBE) results for crystalline FeSi2Pb at its relaxed geometry.

a = 8.6730 Å, b = 8.6730 Å, c = 8.6730 Å
α = 20.81°, β = 20.81°, γ = 20.81°
Closest atoms and distances in Å follow each position.
Fractional coordinates of all 4 atoms:
Fe  0.2500  0.2500  0.2500  6 Si 2.36
Pb  0.7500  0.7500  0.7500  6 Pb 3.13, 6 Si 3.27
Si  0.9763  0.9763  0.9763  3 Fe 2.36
Si  0.5237  0.5237  0.5237  3 Fe 2.36

## Properties
* electronic total energy: -5.442 eV per atom

---

DFT (PBE) results for crystalline FeSi2Pb at its relaxed geometry.

a = 5.7888 Å, b = 5.7888 Å, c = 3.7904 Å
α = 70.83°, β = 70.83°, γ = 124.96°
Closest atoms and distances in Å follow each position.
Fractional coordinates of all 4 atoms:
Fe  0.5000  0.0000  0.5000  4 Pb 2.67, 4 Si 2.89
Pb  0.0000  0.5000  0.5000  4 Fe 2.67, 4 Si 2.89
Si  0.0000  0.0000  0.0000  4 Si 2.67, 2 Fe 2.89, 2 Pb 2.89
Si  0.5000  0.5000  0.0000  4 Si 2.67, 2 Pb 2.89, 2 Fe 2.89

## Properties
* electronic total energy: -5.065 eV per atom

---

DFT (PBE) results for crystalline FeSiPb at its relaxed geometry.

a = 4.2828 Å, b = 4.2828 Å, c = 4.2828 Å
α = 60.00°, β = 60.00°, γ = 60.00°
Closest atoms and distances in Å follow each position.
Fractional coordinates of all 3 atoms:
Fe  0.7500  0.7500  0.7500  4 Si 2.62, 4 Pb 2.62
Pb  0.0000  0.0000  0.0000  4 Fe 2.62
Si  0.5000  0.5000  0.5000  4 Fe 2.62

## Properties
* energy above the most stable polymorph in this dataset: 177 meV per atom

---

DFT (PBE) results for crystalline FeSiPb2 at its relaxed geometry.

a = 4.0915 Å, b = 4.2453 Å, c = 5.4387 Å
α = 66.94°, β = 90.00°, γ = 90.00°
Closest atoms and distances in Å follow each position.
Fractional coordinates of all 4 atoms:
Fe  0.5000  0.5710  0.7328  2 Si 2.32
Pb  0.0000  0.9744  0.9261  3 Si 2.95-2.96, 4 Fe 3.10
Pb  0.5000  0.2749  0.3253  3 Fe 2.94-2.97, 4 Si 3.10
Si  0.0000  0.6796  0.5158  2 Fe 2.32

## Properties
* electronic total energy: -5.013 eV per atom

---

DFT (PBE) results for crystalline FeSiPb2 at its relaxed geometry.

a = 8.9574 Å, b = 8.9574 Å, c = 8.9574 Å
α = 22.14°, β = 22.14°, γ = 22.14°
Closest atoms and distances in Å follow each position.
Fractional coordinates of all 4 atoms:
Fe  0.7669  0.7669  0.7669  3 Si 2.30
Pb  0.0193  0.0193  0.0193  3 Fe 2.91
Pb  0.2362  0.2362  0.2362  3 Si 3.12, 6 Pb 3.44
Si  0.4777  0.4777  0.4777  3 Fe 2.30

## Properties
* electronic total energy: -5.000 eV per atom